The following is a GGA-PBE calculation of TbTeN after structural relaxation, from OQMD.

Cell and atoms, written as POSCAR:
```
TbTeN
1.0
3.353 0.000 0.000
0.000 3.353 0.000
0.000 0.000 6.125
Tb N Te
1 1 1
Direct
0.500 0.500 0.500
0.000 0.000 0.000
0.500 0.500 0.000
```

Output
The total energy is -4.507 eV/atom. For the size of the total moment, the calculation gives 0.03 μB/f.u. As for the volume: 23.0 Å³ per atom.